This record from Alexandria via LeMat-Bulk describes crystalline Cs2RbNaHg at its relaxed geometry. The functional is PBE.

* theoretical density: 3.0 g/cm3
* symmetry: P2_1/m (11)
* DOS(E_F): 2.985 states/eV/f.u.
* formation energy: -0.092 eV/atom
* uncorrected energy: -0.951 eV/atom
* energy above the lowest structure with this stoichiometry: 0 meV per atom

Structure (POSCAR):
```
Cs2RbNaHg
1.0
8.831 0.000 0.000
0.000 6.020 0.000
-0.009 0.000 12.139
Cs Rb Na Hg
4 2 2 2
Cartesian
1.895 1.505 0.554
1.898 1.505 5.511
6.924 4.515 6.629
6.927 4.515 11.586
2.263 4.515 9.101
6.559 1.505 3.039
3.611 4.515 3.033
5.211 1.505 9.106
0.320 4.515 3.040
8.502 1.505 9.100
```



This record from Alexandria via LeMat-Bulk describes crystalline ZrSi2Hg at its relaxed geometry. The functional is PBE.

* theoretical density: 7.8 g/cm3
* symmetry: P4mm (99)
* DOS(E_F): 2.035 states/eV/f.u.
* uncorrected energy: -4.946 eV/atom
* energy above the lowest structure with this stoichiometry: 85 meV per atom

Structure (POSCAR):
```
ZrSi2Hg
1.0
3.363 0.000 0.000
0.000 3.363 0.000
0.000 0.000 6.514
Zr Si Hg
1 2 1
Cartesian
0.000 0.000 0.000
0.000 0.000 3.834
1.681 1.681 4.945
1.681 1.681 2.072
```



This record from Alexandria via LeMat-Bulk describes crystalline CdIn2Ir at its relaxed geometry. The functional is PBE.

* theoretical density: 11.4 g/cm3
* symmetry: C2 (5)
* DOS(E_F): 1.048 states/eV/f.u.
* formation energy: 0.102 eV/atom
* uncorrected energy: -3.711 eV/atom

Structure (POSCAR):
```
CdIn2Ir
1.0
3.046 -2.959 0.000
3.046 2.959 0.000
-3.038 0.000 4.321
Cd In Ir
1 2 1
Cartesian
0.000 0.000 0.000
1.527 1.480 2.161
3.046 -0.001 0.000
1.527 -1.479 2.161
```



This record from Alexandria via LeMat-Bulk describes crystalline Pu4As3Cl at its relaxed geometry. The functional is PBE.

* theoretical density: 10.4 g/cm3
* symmetry: Cmmm (65)
* DOS(E_F): 42.199 states/eV/f.u.
* uncorrected energy: -10.214 eV/atom

Structure (POSCAR):
```
Pu4As3Cl
1.0
4.096 -5.840 0.000
4.096 5.840 0.000
0.000 0.000 4.141
Pu As Cl
4 3 1
Cartesian
2.024 0.000 2.071
4.096 2.938 0.000
4.096 -2.938 0.000
6.168 0.000 2.071
0.000 0.000 0.000
2.048 2.920 2.071
2.048 -2.920 2.071
4.096 0.000 0.000
```



This record from Alexandria via LeMat-Bulk describes crystalline GdYTe at its relaxed geometry. The functional is PBE.

* theoretical density: 7.0 g/cm3
* symmetry: I4mm (107)
* DOS(E_F): 2.522 states/eV/f.u.
* uncorrected energy: -8.694 eV/atom
* energy above the lowest structure with this stoichiometry: 0 meV per atom

Structure (POSCAR):
```
GdYTe
1.0
-1.945 1.945 5.832
1.945 -1.945 5.832
1.945 1.945 -5.832
Gd Y Te
1 1 1
Cartesian
0.000 0.000 0.000
0.000 0.000 3.595
0.000 0.000 7.694
```



This record from Alexandria via LeMat-Bulk describes crystalline AcTbZn2Si2 at its relaxed geometry. The functional is PBE.

* theoretical density: 7.2 g/cm3
* symmetry: P-3m1 (164)
* DOS(E_F): 3.989 states/eV/f.u.
* uncorrected energy: -4.281 eV/atom

Structure (POSCAR):
```
AcTbZn2Si2
1.0
4.202 0.000 0.000
-2.101 3.639 0.000
0.000 0.000 8.674
Ac Tb Zn Si
1 1 2 2
Cartesian
0.000 0.000 0.000
0.000 0.000 4.337
0.000 2.426 6.330
2.101 1.213 2.344
0.000 2.426 2.378
2.101 1.213 6.296
```



This record from Alexandria via LeMat-Bulk describes crystalline CsAs2RhO8 at its relaxed geometry. The functional is PBE.

* theoretical density: 4.1 g/cm3
* symmetry: P-3 (147)
* DOS(E_F): 5.593 states/eV/f.u.
* uncorrected energy: -5.833 eV/atom

Structure (POSCAR):
```
CsAs2RhO8
1.0
5.041 0.000 0.000
-2.521 4.366 0.000
0.000 0.000 9.506
Cs As Rh O
1 2 1 8
Cartesian
0.000 0.000 0.000
0.000 2.910 6.479
2.521 1.455 3.027
0.000 0.000 4.753
-0.741 1.422 5.909
-0.918 4.296 5.909
0.861 1.353 3.598
0.000 2.910 8.152
2.521 1.455 1.355
1.659 3.012 5.909
3.439 0.069 3.598
3.262 2.943 3.598
```



This record from Alexandria via LeMat-Bulk describes crystalline YSbW2 at its relaxed geometry. The functional is PBE.

* theoretical density: 11.7 g/cm3
* symmetry: P2/m (10)
* DOS(E_F): 3.290 states/eV/f.u.
* uncorrected energy: -8.657 eV/atom

Structure (POSCAR):
```
YSbW2
1.0
3.044 0.000 0.000
0.000 5.143 0.000
-0.114 0.000 5.248
Y Sb W
1 1 2
Cartesian
0.000 0.000 0.000
1.465 0.000 2.624
1.101 2.571 4.000
1.829 2.571 1.248
```



This record from Alexandria via LeMat-Bulk describes crystalline YbTl3 at its relaxed geometry. The functional is PBE.

* theoretical density: 11.5 g/cm3
* symmetry: Pm-3m (221)
* DOS(E_F): 16.347 states/eV/f.u.
* formation energy: -0.243 eV/atom
* uncorrected energy: -2.399 eV/atom

Structure (POSCAR):
```
YbTl3
1.0
4.837 0.000 0.000
0.000 4.837 0.000
0.000 0.000 4.837
Yb Tl
1 3
Cartesian
0.000 0.000 0.000
0.000 2.419 2.419
2.419 0.000 2.419
2.419 2.419 0.000
```



This record from Alexandria via LeMat-Bulk describes crystalline TiSn2P2 at its relaxed geometry. The functional is PBE.

* theoretical density: 5.8 g/cm3
* symmetry: P4/mbm (127)
* DOS(E_F): 3.216 states/eV/f.u.
* formation energy: -0.090 eV/atom
* uncorrected energy: -5.434 eV/atom

Structure (POSCAR):
```
TiSn2P2
1.0
6.643 0.000 0.000
0.000 6.643 0.000
0.000 0.000 4.484
Ti Sn P
2 4 4
Cartesian
0.000 0.000 0.000
3.322 3.322 0.000
1.127 2.194 2.242
2.194 5.516 2.242
4.449 1.127 2.242
5.516 4.449 2.242
0.988 4.309 0.000
2.334 0.988 0.000
4.309 5.655 0.000
5.655 2.334 0.000
```



This record from Alexandria via LeMat-Bulk describes crystalline ZrGe2S8 at its relaxed geometry. The functional is PBE.

* theoretical density: 3.0 g/cm3
* symmetry: P-3m1 (164)
* DOS(E_F): 9.810 states/eV/f.u.
* uncorrected energy: -4.609 eV/atom

Structure (POSCAR):
```
ZrGe2S8
1.0
6.861 0.000 0.000
-3.430 5.942 0.000
0.000 0.000 6.713
Zr Ge S
1 2 8
Cartesian
0.000 0.000 0.000
0.000 3.961 2.357
3.430 1.981 4.356
0.000 1.816 1.774
-1.857 5.033 1.774
1.573 0.908 4.939
0.000 3.961 4.573
3.430 1.981 2.140
1.857 5.033 1.774
5.288 0.908 4.939
3.430 4.125 4.939
```



This record from Alexandria via LeMat-Bulk describes crystalline Tb7SmDy5 at its relaxed geometry. The functional is PBE.

* theoretical density: 8.0 g/cm3
* symmetry: Imm2 (44)
* DOS(E_F): 23.015 states/eV/f.u.
* formation energy: 0.248 eV/atom
* uncorrected energy: -4.379 eV/atom

Structure (POSCAR):
```
Tb7SmDy5
1.0
-3.339 5.567 5.789
3.339 -5.567 5.789
3.339 5.567 -5.789
Tb Sm Dy
7 1 5
Cartesian
0.000 0.000 0.000
0.000 5.567 5.787
3.339 -1.895 2.882
0.000 0.000 3.536
3.339 1.895 2.882
0.000 3.671 2.881
0.000 7.463 2.881
0.000 0.000 8.050
1.781 3.017 -0.020
1.558 -2.550 5.769
3.339 0.000 5.768
1.781 8.118 -0.020
1.558 2.550 5.769
```



This record from Alexandria via LeMat-Bulk describes crystalline MgSc2AlC at its relaxed geometry. The functional is PBE.

* theoretical density: 2.9 g/cm3
* symmetry: P4/mmm (123)
* DOS(E_F): 4.092 states/eV/f.u.
* formation energy: -0.258 eV/atom
* uncorrected energy: -5.703 eV/atom
* energy above the lowest structure with this stoichiometry: 70 meV per atom

Structure (POSCAR):
```
MgSc2AlC
1.0
4.627 0.000 0.000
0.000 4.627 0.000
0.000 0.000 4.068
Mg Sc Al C
1 2 1 1
Cartesian
0.000 0.000 0.000
0.000 2.314 2.034
2.314 0.000 2.034
2.314 2.314 0.000
2.314 2.314 2.034
```



This record from Alexandria via LeMat-Bulk describes crystalline Dy4YHo3 at its relaxed geometry. The functional is PBE.

* theoretical density: 7.9 g/cm3
* symmetry: C2/m (12)
* DOS(E_F): 11.765 states/eV/f.u.
* formation energy: 0.210 eV/atom
* uncorrected energy: -4.615 eV/atom
* energy above the lowest structure with this stoichiometry: 206 meV per atom

Structure (POSCAR):
```
Dy4YHo3
1.0
12.956 -2.805 0.000
12.956 2.805 0.000
-0.004 0.000 3.559
Dy Y Ho
4 1 3
Cartesian
2.689 0.000 3.558
5.786 0.000 3.555
20.121 0.000 0.004
23.218 0.000 0.001
-0.002 0.000 1.780
8.951 0.000 1.782
12.956 0.000 0.000
16.956 0.000 1.777
```



This record from Alexandria via LeMat-Bulk describes crystalline Cr3RhBr at its relaxed geometry. The functional is PBE.

* theoretical density: 4.9 g/cm3
* symmetry: Pm-3m (221)
* DOS(E_F): 7.822 states/eV/f.u.
* uncorrected energy: -6.533 eV/atom
* energy above the lowest structure with this stoichiometry: 0 meV per atom

Structure (POSCAR):
```
Cr3RhBr
1.0
4.871 0.000 0.000
0.000 4.871 0.000
0.000 0.000 4.871
Cr Rh Br
3 1 1
Cartesian
0.000 0.000 2.436
0.000 2.436 0.000
2.436 0.000 0.000
0.000 0.000 0.000
2.436 2.436 2.436
```



This record from Alexandria via LeMat-Bulk describes crystalline MoC at its relaxed geometry. The functional is PBE.

* theoretical density: 6.8 g/cm3
* symmetry: I4/m (87)
* DOS(E_F): 0.934 states/eV/f.u.
* formation energy: 0.222 eV/atom
* uncorrected energy: -9.806 eV/atom
* energy above the lowest structure with this stoichiometry: 316 meV per atom

Structure (POSCAR):
```
MoC
1.0
-3.507 3.507 2.133
3.507 -3.507 2.133
3.507 3.507 -2.133
Mo C
4 4
Cartesian
2.343 0.898 0.000
2.609 -1.164 2.133
0.898 4.671 0.000
1.164 2.609 2.133
4.237 1.435 0.000
1.435 2.777 0.000
2.072 0.730 2.133
-0.730 2.072 2.133
```



This record from Alexandria via LeMat-Bulk describes crystalline UNiSnPt at its relaxed geometry. The functional is PBE.

* theoretical density: 13.5 g/cm3
* symmetry: F-43m (216)
* DOS(E_F): 5.371 states/eV/f.u.
* formation energy: -0.377 eV/atom
* uncorrected energy: -7.156 eV/atom

Structure (POSCAR):
```
UNiSnPt
1.0
0.000 3.353 3.353
3.353 0.000 3.353
3.353 3.353 0.000
U Ni Sn Pt
1 1 1 1
Cartesian
0.000 0.000 0.000
1.676 1.676 1.676
3.353 3.353 3.353
5.029 5.029 5.029
```



This record from Alexandria via LeMat-Bulk describes crystalline KSr4Sb at its relaxed geometry. The functional is PBE.

* theoretical density: 2.8 g/cm3
* symmetry: F-43m (216)
* DOS(E_F): 7.505 states/eV/f.u.
* uncorrected energy: -1.811 eV/atom

Structure (POSCAR):
```
KSr4Sb
1.0
0.000 5.323 5.323
5.323 0.000 5.323
5.323 5.323 0.000
K Sr Sb
1 4 1
Cartesian
0.000 0.000 0.000
4.006 4.006 4.006
6.640 6.640 4.006
6.640 4.006 6.640
4.006 6.640 6.640
7.984 7.984 7.984
```



This record from Alexandria via LeMat-Bulk describes crystalline TbY3Tl at its relaxed geometry. The functional is PBE.

* theoretical density: 6.3 g/cm3
* symmetry: R-3m (166)
* DOS(E_F): 6.493 states/eV/f.u.
* formation energy: 0.021 eV/atom
* uncorrected energy: -5.257 eV/atom
* energy above the lowest structure with this stoichiometry: 146 meV per atom

Structure (POSCAR):
```
TbY3Tl
1.0
3.585 2.070 7.465
-3.585 2.070 7.465
0.000 -4.140 7.465
Tb Y Tl
2 6 2
Cartesian
0.000 0.000 1.983
0.000 0.000 20.411
-1.814 -1.047 9.879
0.000 -2.094 12.515
-1.814 1.047 12.515
1.814 -1.047 9.879
0.000 2.094 9.879
1.814 1.047 12.515
0.000 0.000 7.479
0.000 0.000 14.915
```



This record from Alexandria via LeMat-Bulk describes crystalline Mn2TcRu at its relaxed geometry. The functional is PBE.

* theoretical density: 9.9 g/cm3
* symmetry: C2/m (12)
* DOS(E_F): 5.433 states/eV/f.u.
* formation energy: 0.146 eV/atom
* uncorrected energy: -9.349 eV/atom

Structure (POSCAR):
```
Mn2TcRu
1.0
4.302 -1.323 0.000
4.302 1.323 0.000
-0.805 0.000 4.530
Mn Tc Ru
2 1 1
Cartesian
1.939 0.000 1.125
5.861 0.000 3.405
-0.402 0.000 2.265
4.302 0.000 0.000
```



This record from Alexandria via LeMat-Bulk describes crystalline Mn2CrAs2 at its relaxed geometry. The functional is PBE.

* theoretical density: 6.5 g/cm3
* symmetry: C2/m (12)
* DOS(E_F): 3.790 states/eV/f.u.
* formation energy: 0.083 eV/atom
* uncorrected energy: -7.369 eV/atom
* energy above the lowest structure with this stoichiometry: 62 meV per atom

Structure (POSCAR):
```
Mn2CrAs2
1.0
2.749 -2.536 0.000
2.749 2.536 0.000
-1.263 0.000 5.689
Mn Cr As
2 1 2
Cartesian
2.749 1.300 0.000
2.749 -1.300 0.000
-0.631 0.000 2.845
1.481 0.000 1.534
2.754 0.000 4.156
```



This record from Alexandria via LeMat-Bulk describes crystalline Li2Cd5Pd2 at its relaxed geometry. The functional is PBE.

* theoretical density: 7.9 g/cm3
* symmetry: P-1 (2)
* DOS(E_F): 2.840 states/eV/f.u.
* formation energy: -0.297 eV/atom
* uncorrected energy: -2.384 eV/atom
* energy above the lowest structure with this stoichiometry: 10 meV per atom

Structure (POSCAR):
```
Li2Cd5Pd2
1.0
4.294 0.000 0.000
-0.022 6.512 0.000
-2.104 -1.910 5.921
Li Cd Pd
2 5 2
Cartesian
0.012 1.038 2.602
2.156 3.565 3.320
0.000 0.000 0.000
-0.001 3.973 1.598
0.021 2.613 5.108
2.147 1.990 0.813
2.169 0.630 4.323
0.032 -1.255 4.090
2.136 5.858 1.831
```



This record from Alexandria via LeMat-Bulk describes crystalline Ac2La8Ho3 at its relaxed geometry. The functional is PBE.

* theoretical density: 7.1 g/cm3
* symmetry: C2/m (12)
* DOS(E_F): 21.198 states/eV/f.u.
* formation energy: 0.161 eV/atom
* uncorrected energy: -4.560 eV/atom

Structure (POSCAR):
```
Ac2La8Ho3
1.0
6.892 -6.034 0.000
6.892 6.034 0.000
-2.459 0.000 5.810
Ac La Ho
2 8 3
Cartesian
1.847 0.000 1.891
9.477 0.000 3.919
-0.722 0.000 4.304
3.874 2.963 2.021
2.785 0.000 5.239
7.450 2.963 3.789
3.874 -2.963 2.021
8.539 0.000 0.571
7.450 -2.963 3.789
12.046 0.000 1.506
6.892 3.168 0.000
5.662 0.000 2.905
6.892 -3.168 0.000
```



This record from Alexandria via LeMat-Bulk describes crystalline Sr3As2O7 at its relaxed geometry. The functional is PBE.

* theoretical density: 5.1 g/cm3
* symmetry: Cmmm (65)
* DOS(E_F): 1.065 states/eV/f.u.
* uncorrected energy: -6.041 eV/atom

Structure (POSCAR):
```
Sr3As2O7
1.0
2.002 -10.937 0.000
2.002 10.937 0.000
0.000 0.000 3.917
Sr As O
3 2 7
Cartesian
0.000 0.000 0.000
2.002 7.159 0.000
2.002 -7.159 0.000
2.002 2.092 1.958
2.002 -2.092 1.958
2.002 8.878 1.958
2.002 4.011 1.958
2.002 2.064 0.000
2.002 0.000 1.958
2.002 -2.064 0.000
2.002 -4.011 1.958
2.002 -8.878 1.958
```